# 1
Compound: PaTi2Ge
Source: Alexandria
Functional: PBE
Structure: relaxed

a = 4.652 Å, b = 4.652 Å, c = 4.653 Å
α = 60.01°, β = 60.01°, γ = 60.00°
Atoms (fractional coordinates):
1 Ge 0.500 0.500 0.500
2 Pa 0.000 0.000 0.000
3 Ti 0.750 0.750 0.750
4 Ti 0.250 0.250 0.250

Results
Size of the total moment (μB per formula unit): 0.0
Formation energy (eV/atom): -0.208

# 2
Compound: RbFe3Pb
Source: Alexandria
Functional: PBE
Structure: relaxed

a = 5.173 Å, b = 5.173 Å, c = 5.173 Å
α = 90.00°, β = 90.00°, γ = 90.00°
Site moments in Bohr magnetons follow the coordinates.
Atoms (fractional coordinates):
1 Pb 0.000 0.000 0.000  -0.05
2 Fe 0.000 0.500 0.000  3.03
3 Fe 0.000 0.000 0.500  3.05
4 Fe 0.500 0.000 0.000  2.89
5 Rb 0.500 0.500 0.500  -0.02

Results
Size of the total moment (μB per formula unit): 9.0
Formation energy (eV/atom): 1.411

# 3
Compound: Zr6InGa5
Source: Alexandria
Functional: PBE
Structure: relaxed

a = 7.094 Å, b = 7.366 Å, c = 6.156 Å
α = 53.26°, β = 83.58°, γ = 79.23°
Atoms (fractional coordinates):
1 Zr 0.727 0.098 0.348
2 Zr 0.273 0.554 0.348
3 Zr 0.232 0.283 0.000
4 Zr 0.768 0.717 0.000
5 Zr 0.727 0.446 0.652
6 Zr 0.273 0.902 0.652
7 In 0.000 0.000 0.000
8 Ga 0.500 0.135 0.729
9 Ga 0.000 0.307 0.386
10 Ga 0.500 0.500 0.000
11 Ga 0.000 0.693 0.614
12 Ga 0.500 0.865 0.271

Results
Size of the total moment (μB per formula unit): 0.0
Formation energy (eV/atom): -0.313

- Among the records above, which one has the lowest formation energy?
  Zr6InGa5

- What is the formula in the second record?
  RbFe3Pb

- Among the records above, which one has the highest size of the total moment?
  RbFe3Pb

What did the third record say?
Compound: Zr6InGa5
Source: Alexandria
Functional: PBE
Structure: relaxed

a = 7.094 Å, b = 7.366 Å, c = 6.156 Å
α = 53.26°, β = 83.58°, γ = 79.23°
Atoms (fractional coordinates):
1 Zr 0.727 0.098 0.348
2 Zr 0.273 0.554 0.348
3 Zr 0.232 0.283 0.000
4 Zr 0.768 0.717 0.000
5 Zr 0.727 0.446 0.652
6 Zr 0.273 0.902 0.652
7 In 0.000 0.000 0.000
8 Ga 0.500 0.135 0.729
9 Ga 0.000 0.307 0.386
10 Ga 0.500 0.500 0.000
11 Ga 0.000 0.693 0.614
12 Ga 0.500 0.865 0.271

Results
Size of the total moment (μB per formula unit): 0.0
Formation energy (eV/atom): -0.313